## Nb2W (GGA-PBE)

Data for a relaxed structure of Nb2W.

Cell: 11.1731 11.1731 11.1731 Å, 90.00 90.00 90.00°
Space group Fd-3m (No. 227, origin choice 2)
Asymmetric unit:
Nb (0.0000, 0.0000, 0.0000) [16 per cell]
W (0.1250, 0.1250, 0.1250) [8 per cell]

Values from the calculation:
Formation energy = 3.57 eV/atom
Total magnetization = 2.0 μB per formula unit
V = 58.1 A^3/atom
Raw total energy = -7.47 eV per atom

## Nb2W (GGA-PBE)

Data for a relaxed structure of Nb2W.

Cell: 7.5680 7.5680 7.5680 Å, 90.00 90.00 90.00°
Space group Fd-3m (No. 227, origin choice 2)
Asymmetric unit:
Nb (0.0000, 0.0000, 0.0000) [16 per cell]
W (0.1250, 0.1250, 0.6250) [8 per cell]

Values from the calculation:
Formation energy = 0.42 eV/atom
Total magnetization = 0.0 μB per formula unit
V = 18.1 A^3/atom
Raw total energy = -10.63 eV per atom

## NbW5 (GGA-PBE)

Data for a relaxed structure of NbW5.

Cell: 4.5341 13.5878 3.1970 Å, 90.00 90.00 90.00°
Space group Cmmm (No. 65)
Asymmetric unit:
Nb (0.0000, 0.0000, 0.0000) [2 per cell]
W (0.0000, 0.1687, 0.5000) [4 per cell]
W (0.0000, 0.3329, 0.0000) [4 per cell]
W (0.0000, 0.5000, 0.5000) [2 per cell]

Values from the calculation:
Formation energy = -0.04 eV/atom
Total magnetization = 0.0 μB per formula unit
V = 16.4 A^3/atom
Raw total energy = -12.52 eV per atom

## NbW (GGA-PBE)

Data for a relaxed structure of NbW.

Cell: 2.8132 2.8132 5.0996 Å, 90.00 90.00 120.00°
Space group P-6m2 (No. 187)
Asymmetric unit:
Nb (0.0000, 0.0000, 0.0000) [1 per cell]
W (0.6667, 0.3333, 0.5000) [1 per cell]

Values from the calculation:
Formation energy = 0.43 eV/atom
Total magnetization = 0.0 μB per formula unit
V = 17.5 A^3/atom
Raw total energy = -11.10 eV per atom